Here is crystalline HoIn2Pt at its relaxed geometry from the Alexandria database. Energies are from PBE.

Fermi-level density of states = 0.662 states/eV/atom
ΔE_f = -54.68 kJ per mole of atoms
Raw total energy = -4.5906 eV per atom

```
data_HoIn2Pt
_cell_length_a 4.312
_cell_length_b 4.312
_cell_length_c 4.711
_cell_angle_alpha 90.00
_cell_angle_beta 90.00
_cell_angle_gamma 90.00
_symmetry_space_group_name_H-M 'P 4/m m m'
_symmetry_Int_Tables_number 123
_symmetry_space_group_name_Hall '-P 4 2'
loop_
_atom_site_label
_atom_site_fract_x
_atom_site_fract_y
_atom_site_fract_z
Ho1 0.000 0.000 0.000
In1 0.000 0.500 0.500
Pt1 0.500 0.500 0.000
```

---

Here is crystalline HoIn4Pt2 at its relaxed geometry from the Alexandria database. Energies are from PBE.

Fermi-level density of states = 0.385 states/eV/atom
ΔE_f = -58.33 kJ per mole of atoms
Raw total energy = -4.5493 eV per atom

```
data_HoIn4Pt2
_cell_length_a 18.407
_cell_length_b 4.370
_cell_length_c 7.590
_cell_angle_alpha 90.00
_cell_angle_beta 90.00
_cell_angle_gamma 90.00
_symmetry_space_group_name_H-M 'P n m a'
_symmetry_Int_Tables_number 62
_symmetry_space_group_name_Hall '-P 2ac 2n'
loop_
_atom_site_label
_atom_site_fract_x
_atom_site_fract_y
_atom_site_fract_z
Ho1 0.144 0.250 0.066
In1 0.034 0.750 0.869
In2 0.068 0.250 0.499
In3 0.187 0.750 0.359
In4 0.188 0.750 0.767
Pt1 0.045 0.750 0.250
Pt2 0.223 0.250 0.564
```

---

Here is crystalline Ho2In3Pt at its relaxed geometry from the Alexandria database. Energies are from PBE.

Fermi-level density of states = 0.679 states/eV/atom
ΔE_f = -59.71 kJ per mole of atoms
Raw total energy = -4.5207 eV per atom

```
data_Ho2In3Pt
_cell_length_a 3.583
_cell_length_b 4.840
_cell_length_c 8.293
_cell_angle_alpha 90.00
_cell_angle_beta 90.00
_cell_angle_gamma 90.00
_symmetry_space_group_name_H-M 'P m m 2'
_symmetry_Int_Tables_number 25
_symmetry_space_group_name_Hall 'P 2 -2'
loop_
_atom_site_label
_atom_site_fract_x
_atom_site_fract_y
_atom_site_fract_z
Ho1 0.000 0.000 0.000
Ho2 0.000 0.500 0.439
In1 0.500 0.000 0.616
In2 0.500 0.500 0.133
In3 0.500 0.500 0.792
Pt1 0.500 0.000 0.287
```

---

Here is crystalline HoIn2Pt2 at its relaxed geometry from the Alexandria database. Energies are from PBE.

Fermi-level density of states = 0.331 states/eV/atom
ΔE_f = -74.64 kJ per mole of atoms
Raw total energy = -5.2008 eV per atom

```
data_HoIn2Pt2
_cell_length_a 5.388
_cell_length_b 4.672
_cell_length_c 9.019
_cell_angle_alpha 90.00
_cell_angle_beta 107.10
_cell_angle_gamma 90.00
_symmetry_space_group_name_H-M 'P 1 21/m 1'
_symmetry_Int_Tables_number 11
_symmetry_space_group_name_Hall '-P 2yb'
loop_
_atom_site_label
_atom_site_fract_x
_atom_site_fract_y
_atom_site_fract_z
Ho1 0.184 0.250 0.266
In1 0.211 0.250 0.625
In2 0.366 0.750 0.047
Pt1 0.107 0.250 0.908
Pt2 0.331 0.750 0.475
```

---

Here is crystalline Ho5In4Pt at its relaxed geometry from the Alexandria database. Energies are from PBE.

Fermi-level density of states = 0.539 states/eV/atom
ΔE_f = -60.72 kJ per mole of atoms
Raw total energy = -4.6177 eV per atom

```
data_Ho5In4Pt
_cell_length_a 3.523
_cell_length_b 3.523
_cell_length_c 20.343
_cell_angle_alpha 90.00
_cell_angle_beta 90.00
_cell_angle_gamma 90.00
_symmetry_space_group_name_H-M 'P 4/m m m'
_symmetry_Int_Tables_number 123
_symmetry_space_group_name_Hall '-P 4 2'
loop_
_atom_site_label
_atom_site_fract_x
_atom_site_fract_y
_atom_site_fract_z
Ho1 0.000 0.000 0.000
Ho2 0.000 0.000 0.208
Ho3 0.000 0.000 0.418
In1 0.500 0.500 0.104
In2 0.500 0.500 0.311
Pt1 0.500 0.500 0.500
```

---

Here is crystalline Ho2In5Pt3 at its relaxed geometry from the Alexandria database. Energies are from PBE.

Fermi-level density of states = 0.511 states/eV/atom
ΔE_f = -69.76 kJ per mole of atoms
Raw total energy = -4.8201 eV per atom

```
data_Ho2In5Pt3
_cell_length_a 4.397
_cell_length_b 26.759
_cell_length_c 7.438
_cell_angle_alpha 90.00
_cell_angle_beta 90.00
_cell_angle_gamma 90.00
_symmetry_space_group_name_H-M 'C m c 21'
_symmetry_Int_Tables_number 36
_symmetry_space_group_name_Hall 'C 2c -2'
loop_
_atom_site_label
_atom_site_fract_x
_atom_site_fract_y
_atom_site_fract_z
Ho1 0.000 0.024 0.000
Ho2 0.000 0.323 0.105
In1 0.000 0.098 0.385
In2 0.000 0.206 0.309
In3 0.000 0.207 0.899
In4 0.000 0.376 0.536
In5 0.000 0.446 0.165
Pt1 0.000 0.111 0.770
Pt2 0.000 0.270 0.604
Pt3 0.000 0.458 0.781
```

---

Here is crystalline Ho6InPt at its relaxed geometry from the Alexandria database. Energies are from PBE.

Fermi-level density of states = 1.150 states/eV/atom
ΔE_f = -17.30 kJ per mole of atoms
Raw total energy = -4.7100 eV per atom

```
data_Ho6InPt
_cell_length_a 7.056
_cell_length_b 7.058
_cell_length_c 7.220
_cell_angle_alpha 90.05
_cell_angle_beta 119.18
_cell_angle_gamma 119.94
_symmetry_space_group_name_H-M 'P -1'
_symmetry_Int_Tables_number 2
_symmetry_space_group_name_Hall '-P 1'
loop_
_atom_site_label
_atom_site_fract_x
_atom_site_fract_y
_atom_site_fract_z
Ho1 0.036 0.070 0.255
Ho2 0.289 0.720 0.255
Ho3 0.313 0.533 0.745
In1 0.500 0.000 0.000
Pt1 0.500 0.500 0.500
```

---

Here is crystalline Ho7In2Pt2 at its relaxed geometry from the Alexandria database. Energies are from PBE.

Fermi-level density of states = 0.882 states/eV/atom
ΔE_f = -53.78 kJ per mole of atoms
Raw total energy = -5.0667 eV per atom

```
data_Ho7In2Pt2
_cell_length_a 8.219
_cell_length_b 11.010
_cell_length_c 7.027
_cell_angle_alpha 90.00
_cell_angle_beta 90.00
_cell_angle_gamma 90.00
_symmetry_space_group_name_H-M 'C m m m'
_symmetry_Int_Tables_number 65
_symmetry_space_group_name_Hall '-C 2 2'
loop_
_atom_site_label
_atom_site_fract_x
_atom_site_fract_y
_atom_site_fract_z
Ho1 0.000 0.000 0.000
Ho2 0.000 0.500 0.246
Ho3 0.250 0.250 0.252
In1 0.175 0.000 0.500
Pt1 0.000 0.289 0.000
```

---

Q: Fermi-level density of states of number 6 (Ho2In5Pt3)?
A: 0.511 states/eV/atom

---

Q: Which of these has the lowest Fermi-level density of states?
A: HoIn2Pt2